{
  "formula": "LiReMoRu",
  "functional": "PBE",
  "state": "relaxed",
  "lattice": [[-4.2606, -0.3801, -0.5448], [-1.9199, -3.8126, 0.6098], [-2.5650, -0.6008, 3.4137]],
  "species": ["Re", "Mo", "Li", "Ru"],
  "frac_coords": [[0.0000, 0.0000, 0.0000], [0.7500, 0.7500, 0.7500], [0.5000, 0.5000, 0.5000], [0.2500, 0.2500, 0.2500]],
  "magmom_total_mub_per_fu": 0.0,
  "total_energy_ev_per_cell": -33.69,
  "space_group": "F-43m, No. 216"
}